No. 1
# RbLiNO2, optimized geometry, DFT PBE-GGA
# - energy (eV per atom) = -3.61
# - ΔE_f (raw) (eV per atom) = 0.62
# - D(E_F) (states/eV/atom) = 1.180
# - calculated density (g/cm3) = 3.20
# - crystal system = tetragonal
data_RbLiNO2
_chemical_formula_sum 'Rb1 Li1 N1 O2'
_cell_length_a 4.132
_cell_length_b 4.132
_cell_length_c 4.213
_cell_angle_alpha 90.00
_cell_angle_beta 90.00
_cell_angle_gamma 90.00
_symmetry_space_group_name_H-M 'P 1'
_symmetry_Int_Tables_number 1
_symmetry_space_group_name_Hall 'P 1'
loop_
_atom_site_label
_atom_site_fract_x
_atom_site_fract_y
_atom_site_fract_z
Li1 0.000 0.000 0.000
O1 0.000 0.500 0.000
O2 0.500 0.000 0.000
Rb1 0.500 0.500 0.500
N1 0.000 0.000 0.500

***

No. 2
# Re2SnBOs, optimized geometry, DFT PBE-GGA
# - energy (eV per atom) = -8.94
# - formation energy (kJ/mol of atoms) = 41
# - D(E_F) (states/eV/atom) = 0.730
# - calculated density (g/cm3) = 15.61
# - crystal system = tetragonal
data_Re2SnBOs
_chemical_formula_sum 'Re2 Sn1 B1 Os1'
_cell_length_a 4.194
_cell_length_b 4.187
_cell_length_c 4.194
_cell_angle_alpha 90.00
_cell_angle_beta 90.00
_cell_angle_gamma 90.00
_symmetry_space_group_name_H-M 'P 1'
_symmetry_Int_Tables_number 1
_symmetry_space_group_name_Hall 'P 1'
loop_
_atom_site_label
_atom_site_fract_x
_atom_site_fract_y
_atom_site_fract_z
Re1 0.000 0.000 0.500
Re2 0.500 0.000 0.000
B1 0.000 0.000 0.000
Os1 0.000 0.500 0.000
Sn1 0.500 0.500 0.500

***

No. 3
# SrYZr4, optimized geometry, DFT PBE-GGA
# - energy (eV per atom) = -6.68
# - formation energy (kJ/mol of atoms) = 36
# - D(E_F) (states/eV/atom) = 2.028
# - calculated density (g/cm3) = 5.30
# - crystal system = cubic
data_SrYZr4
_chemical_formula_sum 'Sr1 Y1 Zr4'
_cell_length_a 6.213
_cell_length_b 6.213
_cell_length_c 6.213
_cell_angle_alpha 60.00
_cell_angle_beta 60.00
_cell_angle_gamma 60.00
_symmetry_space_group_name_H-M 'P 1'
_symmetry_Int_Tables_number 1
_symmetry_space_group_name_Hall 'P 1'
loop_
_atom_site_label
_atom_site_fract_x
_atom_site_fract_y
_atom_site_fract_z
Sr1 0.750 0.750 0.750
Y1 0.000 0.000 0.000
Zr1 0.886 0.371 0.371
Zr2 0.371 0.371 0.886
Zr3 0.371 0.886 0.371
Zr4 0.371 0.371 0.371

***

No. 4
# Mg5Ga4Au, optimized geometry, DFT PBE-GGA
# - energy (eV per atom) = -2.56
# - formation energy (kJ/mol of atoms) = -22
# - D(E_F) (states/eV/atom) = 0.387
# - calculated density (g/cm3) = 5.19
# - crystal system = tetragonal
data_Mg5Ga4Au
_chemical_formula_sum 'Mg5 Ga4 Au1'
_cell_length_a 3.444
_cell_length_b 3.444
_cell_length_c 16.106
_cell_angle_alpha 90.00
_cell_angle_beta 90.00
_cell_angle_gamma 90.00
_symmetry_space_group_name_H-M 'P 1'
_symmetry_Int_Tables_number 1
_symmetry_space_group_name_Hall 'P 1'
loop_
_atom_site_label
_atom_site_fract_x
_atom_site_fract_y
_atom_site_fract_z
Mg1 0.500 0.500 0.093
Mg2 0.500 0.500 0.295
Mg3 0.500 0.500 0.500
Mg4 0.500 0.500 0.705
Mg5 0.500 0.500 0.907
Ga1 0.000 0.000 0.195
Ga2 0.000 0.000 0.399
Ga3 0.000 0.000 0.601
Ga4 0.000 0.000 0.805
Au1 0.000 0.000 0.000

***

No. 5
# La12SmY7, optimized geometry, DFT PBE-GGA
# - energy (eV per atom) = -5.27
# - formation energy (kJ/mol of atoms) = 17
# - D(E_F) (states/eV/atom) = 1.841
# - calculated density (g/cm3) = 5.74
# - crystal system = trigonal
data_La12SmY7
_chemical_formula_sum 'La12 Sm1 Y7'
_cell_length_a 8.903
_cell_length_b 8.903
_cell_length_c 8.903
_cell_angle_alpha 89.67
_cell_angle_beta 89.67
_cell_angle_gamma 89.67
_symmetry_space_group_name_H-M 'P 1'
_symmetry_Int_Tables_number 1
_symmetry_space_group_name_Hall 'P 1'
loop_
_atom_site_label
_atom_site_fract_x
_atom_site_fract_y
_atom_site_fract_z
La1 0.855 0.268 0.718
La2 0.732 0.282 0.145
La3 0.613 0.143 0.483
La4 0.857 0.517 0.387
La5 0.282 0.145 0.732
La6 0.517 0.387 0.857
La7 0.483 0.613 0.143
La8 0.718 0.855 0.268
La9 0.143 0.483 0.613
La10 0.387 0.857 0.517
La11 0.268 0.718 0.855
La12 0.145 0.732 0.282
Sm1 0.000 0.000 0.000
Y1 0.857 0.622 0.939
Y2 0.378 0.061 0.143
Y3 0.061 0.143 0.378
Y4 0.500 0.500 0.500
Y5 0.939 0.857 0.622
Y6 0.622 0.939 0.857
Y7 0.143 0.378 0.061

***

No. 6
# Ti4SnSe8, optimized geometry, DFT PBE-GGA
# - energy (eV per atom) = -5.90
# - ΔE_f (raw) (eV per atom) = -1.02
# - D(E_F) (states/eV/atom) = 0.586
# - calculated density (g/cm3) = 4.88
# - crystal system = trigonal
data_Ti4SnSe8
_chemical_formula_sum 'Ti4 Sn1 Se8'
_cell_length_a 7.165
_cell_length_b 7.165
_cell_length_c 8.313
_cell_angle_alpha 64.47
_cell_angle_beta 64.47
_cell_angle_gamma 60.00
_symmetry_space_group_name_H-M 'P 1'
_symmetry_Int_Tables_number 1
_symmetry_space_group_name_Hall 'P 1'
loop_
_atom_site_label
_atom_site_fract_x
_atom_site_fract_y
_atom_site_fract_z
Ti1 0.000 0.500 0.000
Ti2 0.500 0.500 0.000
Ti3 0.500 0.000 0.000
Ti4 0.000 0.000 0.000
Sn1 0.500 0.500 0.500
Se1 0.741 0.238 0.783
Se2 0.762 0.259 0.217
Se3 0.259 0.762 0.217
Se4 0.762 0.762 0.217
Se5 0.737 0.737 0.788
Se6 0.263 0.263 0.212
Se7 0.238 0.238 0.783
Se8 0.238 0.741 0.783

***

No. 7
# LaPuTe2, optimized geometry, DFT PBE-GGA
# - energy (eV per atom) = -7.60
# - ΔE_f (raw) (eV per atom) = -1.21
# - D(E_F) (states/eV/atom) = 1.829
# - calculated density (g/cm3) = 9.08
# - crystal system = tetragonal
data_LaPuTe2
_chemical_formula_sum 'La1 Pu1 Te2'
_cell_length_a 3.873
_cell_length_b 3.873
_cell_length_c 7.775
_cell_angle_alpha 90.00
_cell_angle_beta 90.00
_cell_angle_gamma 90.00
_symmetry_space_group_name_H-M 'P 1'
_symmetry_Int_Tables_number 1
_symmetry_space_group_name_Hall 'P 1'
loop_
_atom_site_label
_atom_site_fract_x
_atom_site_fract_y
_atom_site_fract_z
La1 0.500 0.500 0.500
Te1 0.000 0.000 0.756
Te2 0.000 0.000 0.244
Pu1 0.500 0.500 0.000

***

No. 8
# Rb2NdScO4, optimized geometry, DFT PBE-GGA
# - energy (eV per atom) = -6.57
# - ΔE_f (raw) (eV per atom) = -2.46
# - D(E_F) (states/eV/atom) = 0.000
# - calculated density (g/cm3) = 5.24
# - crystal system = orthorhombic
data_Rb2NdScO4
_chemical_formula_sum 'Rb4 Nd2 Sc2 O8'
_cell_length_a 7.239
_cell_length_b 7.239
_cell_length_c 7.448
_cell_angle_alpha 120.96
_cell_angle_beta 120.96
_cell_angle_gamma 89.67
_symmetry_space_group_name_H-M 'P 1'
_symmetry_Int_Tables_number 1
_symmetry_space_group_name_Hall 'P 1'
loop_
_atom_site_label
_atom_site_fract_x
_atom_site_fract_y
_atom_site_fract_z
Rb1 0.500 0.000 0.000
Rb2 0.500 0.000 0.500
Rb3 0.000 0.000 0.500
Rb4 0.500 0.500 0.000
Nd1 0.000 0.500 0.000
Nd2 0.000 0.500 0.500
Sc1 0.500 0.500 0.500
Sc2 0.000 0.000 0.000
O1 0.181 0.749 0.965
O2 0.751 0.319 0.535
O3 0.249 0.681 0.465
O4 0.819 0.251 0.035
O5 0.765 0.735 0.943
O6 0.765 0.735 0.557
O7 0.235 0.265 0.443
O8 0.235 0.265 0.057

***

No. 9
# NiAgAs2, optimized geometry, DFT PBE-GGA
# - energy (eV per atom) = -4.48
# - formation energy (kJ/mol of atoms) = 0
# - D(E_F) (states/eV/atom) = 0.331
# - calculated density (g/cm3) = 7.73
# - crystal system = trigonal
data_NiAgAs2
_chemical_formula_sum 'Ni1 Ag1 As2'
_cell_length_a 7.928
_cell_length_b 7.928
_cell_length_c 7.928
_cell_angle_alpha 23.22
_cell_angle_beta 23.22
_cell_angle_gamma 23.22
_symmetry_space_group_name_H-M 'P 1'
_symmetry_Int_Tables_number 1
_symmetry_space_group_name_Hall 'P 1'
loop_
_atom_site_label
_atom_site_fract_x
_atom_site_fract_y
_atom_site_fract_z
Ag1 0.750 0.750 0.750
As1 0.985 0.985 0.985
As2 0.515 0.515 0.515
Ni1 0.250 0.250 0.250

***

No. 10
# Li2CuAg4, optimized geometry, DFT PBE-GGA
# - energy (eV per atom) = -2.79
# - formation energy (kJ/mol of atoms) = -3
# - D(E_F) (states/eV/atom) = 0.320
# - calculated density (g/cm3) = 7.02
# - crystal system = monoclinic
data_Li2CuAg4
_chemical_formula_sum 'Li4 Cu2 Ag8'
_cell_length_a 8.961
_cell_length_b 5.453
_cell_length_c 7.307
_cell_angle_alpha 137.59
_cell_angle_beta 90.00
_cell_angle_gamma 90.00
_symmetry_space_group_name_H-M 'P 1'
_symmetry_Int_Tables_number 1
_symmetry_space_group_name_Hall 'P 1'
loop_
_atom_site_label
_atom_site_fract_x
_atom_site_fract_y
_atom_site_fract_z
Li1 0.959 0.702 0.260
Li2 0.041 0.298 0.740
Li3 0.459 0.798 0.740
Li4 0.541 0.202 0.260
Cu1 0.000 0.000 0.000
Cu2 0.500 0.500 0.000
Ag1 0.760 0.673 0.954
Ag2 0.841 0.436 0.467
Ag3 0.659 0.936 0.467
Ag4 0.740 0.173 0.954
Ag5 0.260 0.827 0.046
Ag6 0.341 0.064 0.533
Ag7 0.159 0.564 0.533
Ag8 0.240 0.327 0.046

***

No. 11
# BeFeP, optimized geometry, DFT PBE-GGA
# - energy (eV per atom) = -5.68
# - formation energy (kJ/mol of atoms) = 18
# - D(E_F) (states/eV/atom) = 0.532
# - calculated density (g/cm3) = 4.82
# - crystal system = orthorhombic
data_BeFeP
_chemical_formula_sum 'Be1 Fe1 P1'
_cell_length_a 5.614
_cell_length_b 5.510
_cell_length_c 2.524
_cell_angle_alpha 79.19
_cell_angle_beta 74.60
_cell_angle_gamma 26.20
_symmetry_space_group_name_H-M 'P 1'
_symmetry_Int_Tables_number 1
_symmetry_space_group_name_Hall 'P 1'
loop_
_atom_site_label
_atom_site_fract_x
_atom_site_fract_y
_atom_site_fract_z
P1 0.675 0.675 0.325
Fe1 0.337 0.337 0.663
Be1 0.989 0.989 0.011

***

No. 12
# NaSr3Ti, optimized geometry, DFT PBE-GGA
# - energy (eV per atom) = -1.96
# - formation energy (kJ/mol of atoms) = 86
# - D(E_F) (states/eV/atom) = 0.813
# - calculated density (g/cm3) = 2.27
# - crystal system = cubic
data_NaSr3Ti
_chemical_formula_sum 'Na1 Sr3 Ti1'
_cell_length_a 6.254
_cell_length_b 6.254
_cell_length_c 6.254
_cell_angle_alpha 90.00
_cell_angle_beta 90.00
_cell_angle_gamma 90.00
_symmetry_space_group_name_H-M 'P 1'
_symmetry_Int_Tables_number 1
_symmetry_space_group_name_Hall 'P 1'
loop_
_atom_site_label
_atom_site_fract_x
_atom_site_fract_y
_atom_site_fract_z
Sr1 0.000 0.500 0.000
Sr2 0.000 0.000 0.500
Sr3 0.500 0.000 0.000
Na1 0.000 0.000 0.000
Ti1 0.500 0.500 0.500

***

The lowest calculated density belongs to which entry? NaSr3Ti

***

What is the energy in the ninth record? -4.48 eV per atom

***

Among the records above, which one has the highest D(E_F)? SrYZr4

***

Please write out number 5 again, unchanged.
# La12SmY7, optimized geometry, DFT PBE-GGA
# - energy (eV per atom) = -5.27
# - formation energy (kJ/mol of atoms) = 17
# - D(E_F) (states/eV/atom) = 1.841
# - calculated density (g/cm3) = 5.74
# - crystal system = trigonal
data_La12SmY7
_chemical_formula_sum 'La12 Sm1 Y7'
_cell_length_a 8.903
_cell_length_b 8.903
_cell_length_c 8.903
_cell_angle_alpha 89.67
_cell_angle_beta 89.67
_cell_angle_gamma 89.67
_symmetry_space_group_name_H-M 'P 1'
_symmetry_Int_Tables_number 1
_symmetry_space_group_name_Hall 'P 1'
loop_
_atom_site_label
_atom_site_fract_x
_atom_site_fract_y
_atom_site_fract_z
La1 0.855 0.268 0.718
La2 0.732 0.282 0.145
La3 0.613 0.143 0.483
La4 0.857 0.517 0.387
La5 0.282 0.145 0.732
La6 0.517 0.387 0.857
La7 0.483 0.613 0.143
La8 0.718 0.855 0.268
La9 0.143 0.483 0.613
La10 0.387 0.857 0.517
La11 0.268 0.718 0.855
La12 0.145 0.732 0.282
Sm1 0.000 0.000 0.000
Y1 0.857 0.622 0.939
Y2 0.378 0.061 0.143
Y3 0.061 0.143 0.378
Y4 0.500 0.500 0.500
Y5 0.939 0.857 0.622
Y6 0.622 0.939 0.857
Y7 0.143 0.378 0.061